(1)
# NaAg4Sn3, optimized geometry, DFT PBE
data_NaAg4Sn3
_chemical_formula_sum 'Na2 Ag8 Sn6'
_cell_length_a 5.221
_cell_length_b 8.303
_cell_length_c 10.066
_cell_angle_alpha 90.00
_cell_angle_beta 90.00
_cell_angle_gamma 90.00
_space_group_name_H-M_alt 'P 1'
_space_group_IT_number 1
_space_group_name_Hall 'P 1'
loop_
_atom_site_label
_atom_site_type_symbol
_atom_site_fract_x
_atom_site_fract_y
_atom_site_fract_z
_atom_site_occupancy
Sn1 Sn 0.242 0.138 0.500 1
Sn2 Sn 0.008 0.730 0.751 1
Sn3 Sn 0.742 0.862 0.000 1
Sn4 Sn 0.508 0.270 0.251 1
Sn5 Sn 0.008 0.730 0.249 1
Sn6 Sn 0.508 0.270 0.749 1
Ag1 Ag 0.512 0.598 0.811 1
Ag2 Ag 0.244 0.795 0.000 1
Ag3 Ag 0.012 0.402 0.311 1
Ag4 Ag 0.012 0.402 0.689 1
Ag5 Ag 0.512 0.598 0.189 1
Ag6 Ag 0.492 0.152 0.000 1
Ag7 Ag 0.744 0.205 0.500 1
Ag8 Ag 0.992 0.848 0.500 1
Na1 Na 0.999 0.410 0.000 1
Na2 Na 0.499 0.590 0.500 1
# volume: 27.27 Å³ per atom
# DFT formation energy: 0.08 eV/atom
# crystal system: orthorhombic

=====

(2)
# Na2Ag2Sn, optimized geometry, DFT PBE
data_Na2Ag2Sn
_chemical_formula_sum 'Na4 Ag4 Sn2'
_cell_length_a 5.013
_cell_length_b 5.747
_cell_length_c 9.885
_cell_angle_alpha 63.64
_cell_angle_beta 75.31
_cell_angle_gamma 64.14
_space_group_name_H-M_alt 'P 1'
_space_group_IT_number 1
_space_group_name_Hall 'P 1'
loop_
_atom_site_label
_atom_site_type_symbol
_atom_site_fract_x
_atom_site_fract_y
_atom_site_fract_z
_atom_site_occupancy
Na1 Na 0.557 0.241 0.644 1
Na2 Na 0.334 0.288 0.043 1
Na3 Na 0.443 0.759 0.356 1
Na4 Na 0.666 0.712 0.957 1
Sn1 Sn 0.755 0.193 0.297 1
Sn2 Sn 0.245 0.807 0.703 1
Ag1 Ag 0.861 0.694 0.584 1
Ag2 Ag 0.139 0.306 0.416 1
Ag3 Ag 0.020 0.810 0.150 1
Ag4 Ag 0.980 0.190 0.850 1
# volume: 22.90 Å³ per atom
# DFT formation energy: -0.08 eV/atom
# relative energy among the computed polymorphs: 13 meV/atom
# crystal system: monoclinic

=====

(3)
# NaAg2Sn, optimized geometry, DFT PBE
data_NaAg2Sn
_chemical_formula_sum 'Na2 Ag4 Sn2'
_cell_length_a 4.437
_cell_length_b 4.437
_cell_length_c 10.300
_cell_angle_alpha 77.56
_cell_angle_beta 77.56
_cell_angle_gamma 90.00
_space_group_name_H-M_alt 'P 1'
_space_group_IT_number 1
_space_group_name_Hall 'P 1'
loop_
_atom_site_label
_atom_site_type_symbol
_atom_site_fract_x
_atom_site_fract_y
_atom_site_fract_z
_atom_site_occupancy
Ag1 Ag 0.658 0.125 0.250 1
Ag2 Ag 0.092 0.625 0.250 1
Ag3 Ag 0.875 0.908 0.750 1
Ag4 Ag 0.375 0.342 0.750 1
Na1 Na 0.500 0.500 0.000 1
Na2 Na 0.250 0.750 0.500 1
Sn1 Sn 0.000 0.000 0.000 1
Sn2 Sn 0.750 0.250 0.500 1
# volume: 24.14 Å³ per atom
# DFT formation energy: 0.15 eV/atom
# crystal system: tetragonal

=====

(4)
# NaAg2Sn2, optimized geometry, DFT PBE
data_NaAg2Sn2
_chemical_formula_sum 'Na1 Ag2 Sn2'
_cell_length_a 4.622
_cell_length_b 4.622
_cell_length_c 6.953
_cell_angle_alpha 70.59
_cell_angle_beta 70.59
_cell_angle_gamma 90.00
_space_group_name_H-M_alt 'P 1'
_space_group_IT_number 1
_space_group_name_Hall 'P 1'
loop_
_atom_site_label
_atom_site_type_symbol
_atom_site_fract_x
_atom_site_fract_y
_atom_site_fract_z
_atom_site_occupancy
Na1 Na 0.000 0.000 0.000 1
Ag1 Ag 0.389 0.389 0.222 1
Ag2 Ag 0.611 0.611 0.778 1
Sn1 Sn 0.250 0.750 0.500 1
Sn2 Sn 0.750 0.250 0.500 1
# volume: 26.22 Å³ per atom
# DFT formation energy: 0.02 eV/atom
# relative energy among the computed polymorphs: 59 meV/atom
# crystal system: tetragonal

=====

(5)
# Na3Ag9Sn2, optimized geometry, DFT PBE
data_Na3Ag9Sn2
_chemical_formula_sum 'Na3 Ag9 Sn2'
_cell_length_a 4.801
_cell_length_b 8.706
_cell_length_c 8.706
_cell_angle_alpha 66.57
_cell_angle_beta 74.00
_cell_angle_gamma 74.00
_space_group_name_H-M_alt 'P 1'
_space_group_IT_number 1
_space_group_name_Hall 'P 1'
loop_
_atom_site_label
_atom_site_type_symbol
_atom_site_fract_x
_atom_site_fract_y
_atom_site_fract_z
_atom_site_occupancy
Ag1 Ag 0.677 0.677 0.968 1
Ag2 Ag 0.126 0.601 0.147 1
Ag3 Ag 0.874 0.399 0.853 1
Ag4 Ag 0.677 0.968 0.677 1
Ag5 Ag 0.323 0.323 0.032 1
Ag6 Ag 0.323 0.032 0.323 1
Ag7 Ag 0.874 0.853 0.399 1
Ag8 Ag 0.126 0.147 0.601 1
Ag9 Ag 0.000 0.500 0.500 1
Sn1 Sn 0.500 0.307 0.693 1
Sn2 Sn 0.500 0.693 0.307 1
Na1 Na 0.000 0.000 0.000 1
Na2 Na 0.710 0.290 0.290 1
Na3 Na 0.290 0.710 0.710 1
# volume: 22.51 Å³ per atom
# DFT formation energy: 0.01 eV/atom
# crystal system: orthorhombic

=====

(6)
# NaAgSn2, optimized geometry, DFT PBE
data_NaAgSn2
_chemical_formula_sum 'Na1 Ag1 Sn2'
_cell_length_a 4.594
_cell_length_b 4.534
_cell_length_c 4.534
_cell_angle_alpha 90.00
_cell_angle_beta 90.00
_cell_angle_gamma 90.00
_space_group_name_H-M_alt 'P 1'
_space_group_IT_number 1
_space_group_name_Hall 'P 1'
loop_
_atom_site_label
_atom_site_type_symbol
_atom_site_fract_x
_atom_site_fract_y
_atom_site_fract_z
_atom_site_occupancy
Na1 Na 0.500 0.500 0.500 1
Ag1 Ag 0.500 0.000 0.000 1
Sn1 Sn 0.000 0.000 0.500 1
Sn2 Sn 0.000 0.500 0.000 1
# volume: 23.61 Å³ per atom
# DFT formation energy: -0.06 eV/atom
# crystal system: tetragonal

=====

(7)
# Na2AgSn, optimized geometry, DFT PBE
data_Na2AgSn
_chemical_formula_sum 'Na2 Ag1 Sn1'
_cell_length_a 3.258
_cell_length_b 3.258
_cell_length_c 11.373
_cell_angle_alpha 81.76
_cell_angle_beta 81.76
_cell_angle_gamma 60.00
_space_group_name_H-M_alt 'P 1'
_space_group_IT_number 1
_space_group_name_Hall 'P 1'
loop_
_atom_site_label
_atom_site_type_symbol
_atom_site_fract_x
_atom_site_fract_y
_atom_site_fract_z
_atom_site_occupancy
Na1 Na 0.094 0.094 0.717 1
Na2 Na 0.906 0.906 0.283 1
Ag1 Ag 0.500 0.500 0.500 1
Sn1 Sn 0.000 0.000 0.000 1
# volume: 25.78 Å³ per atom
# DFT formation energy: 0.08 eV/atom
# crystal system: trigonal

=====

(8)
# NaAg3Sn, optimized geometry, DFT PBE
data_NaAg3Sn
_chemical_formula_sum 'Na1 Ag3 Sn1'
_cell_length_a 4.984
_cell_length_b 4.984
_cell_length_c 4.984
_cell_angle_alpha 90.00
_cell_angle_beta 90.00
_cell_angle_gamma 90.00
_space_group_name_H-M_alt 'P 1'
_space_group_IT_number 1
_space_group_name_Hall 'P 1'
loop_
_atom_site_label
_atom_site_type_symbol
_atom_site_fract_x
_atom_site_fract_y
_atom_site_fract_z
_atom_site_occupancy
Ag1 Ag 0.000 0.500 0.000 1
Ag2 Ag 0.000 0.000 0.500 1
Ag3 Ag 0.500 0.000 0.000 1
Na1 Na 0.000 0.000 0.000 1
Sn1 Sn 0.500 0.500 0.500 1
# volume: 24.77 Å³ per atom
# DFT formation energy: 0.66 eV/atom
# relative energy among the computed polymorphs: 716 meV/atom
# crystal system: cubic

=====

(9)
# NaAg4Sn4, optimized geometry, DFT PBE
data_NaAg4Sn4
_chemical_formula_sum 'Na2 Ag8 Sn8'
_cell_length_a 5.699
_cell_length_b 9.350
_cell_length_c 9.350
_cell_angle_alpha 90.00
_cell_angle_beta 90.00
_cell_angle_gamma 90.00
_space_group_name_H-M_alt 'P 1'
_space_group_IT_number 1
_space_group_name_Hall 'P 1'
loop_
_atom_site_label
_atom_site_type_symbol
_atom_site_fract_x
_atom_site_fract_y
_atom_site_fract_z
_atom_site_occupancy
Na1 Na 0.000 0.000 0.000 1
Na2 Na 0.500 0.500 0.500 1
Ag1 Ag 0.089 0.161 0.320 1
Ag2 Ag 0.089 0.839 0.680 1
Ag3 Ag 0.589 0.820 0.339 1
Ag4 Ag 0.911 0.680 0.161 1
Ag5 Ag 0.411 0.661 0.820 1
Ag6 Ag 0.589 0.180 0.661 1
Ag7 Ag 0.411 0.339 0.180 1
Ag8 Ag 0.911 0.320 0.839 1
Sn1 Sn 0.904 0.625 0.863 1
Sn2 Sn 0.904 0.375 0.137 1
Sn3 Sn 0.096 0.863 0.375 1
Sn4 Sn 0.596 0.125 0.363 1
Sn5 Sn 0.096 0.137 0.625 1
Sn6 Sn 0.404 0.363 0.875 1
Sn7 Sn 0.404 0.637 0.125 1
Sn8 Sn 0.596 0.875 0.637 1
# volume: 27.68 Å³ per atom
# DFT formation energy: 0.05 eV/atom
# crystal system: tetragonal

=====

(10)
# Na3Ag5Sn2, optimized geometry, DFT PBE
data_Na3Ag5Sn2
_chemical_formula_sum 'Na6 Ag10 Sn4'
_cell_length_a 5.923
_cell_length_b 7.492
_cell_length_c 11.384
_cell_angle_alpha 109.21
_cell_angle_beta 105.08
_cell_angle_gamma 89.99
_space_group_name_H-M_alt 'P 1'
_space_group_IT_number 1
_space_group_name_Hall 'P 1'
loop_
_atom_site_label
_atom_site_type_symbol
_atom_site_fract_x
_atom_site_fract_y
_atom_site_fract_z
_atom_site_occupancy
Na1 Na 0.229 0.576 0.459 1
Na2 Na 0.250 0.000 0.000 1
Na3 Na 0.750 0.000 0.000 1
Na4 Na 0.771 0.424 0.541 1
Na5 Na 0.729 0.882 0.459 1
Na6 Na 0.271 0.118 0.541 1
Ag1 Ag 0.090 0.374 0.179 1
Ag2 Ag 0.104 0.854 0.709 1
Ag3 Ag 0.589 0.805 0.179 1
Ag4 Ag 0.411 0.195 0.821 1
Ag5 Ag 0.396 0.146 0.291 1
Ag6 Ag 0.896 0.146 0.291 1
Ag7 Ag 0.910 0.626 0.821 1
Ag8 Ag 0.604 0.854 0.709 1
Ag9 Ag 0.750 0.500 0.000 1
Ag10 Ag 0.250 0.500 0.000 1
Sn1 Sn 0.884 0.209 0.770 1
Sn2 Sn 0.615 0.439 0.230 1
Sn3 Sn 0.116 0.791 0.230 1
Sn4 Sn 0.385 0.561 0.770 1
# volume: 22.93 Å³ per atom
# DFT formation energy: -0.05 eV/atom
# relative energy among the computed polymorphs: 0 meV/atom
# crystal system: monoclinic

=====

(11)
# Na2AgSn, optimized geometry, DFT PBE
data_Na2AgSn
_chemical_formula_sum 'Na4 Ag2 Sn2'
_cell_length_a 5.687
_cell_length_b 6.196
_cell_length_c 6.196
_cell_angle_alpha 107.71
_cell_angle_beta 90.00
_cell_angle_gamma 90.00
_space_group_name_H-M_alt 'P 1'
_space_group_IT_number 1
_space_group_name_Hall 'P 1'
loop_
_atom_site_label
_atom_site_type_symbol
_atom_site_fract_x
_atom_site_fract_y
_atom_site_fract_z
_atom_site_occupancy
Na1 Na 0.250 0.014 0.633 1
Na2 Na 0.750 0.986 0.367 1
Na3 Na 0.750 0.367 0.986 1
Na4 Na 0.250 0.633 0.014 1
Sn1 Sn 0.250 0.164 0.164 1
Sn2 Sn 0.750 0.836 0.836 1
Ag1 Ag 0.000 0.500 0.500 1
Ag2 Ag 0.500 0.500 0.500 1
# volume: 26.00 Å³ per atom
# DFT formation energy: -0.13 eV/atom
# crystal system: orthorhombic